No. 1
A relaxed structure of Cs3SbF6. Source: the Alexandria database, functional PBE.

Results
space-group type = R-3m
total energy = -4.354 eV/atom

Cell: 7.639 7.639 7.639 Å, 102.66 102.66 102.66°
Atoms (fractional coordinates):
Cs1 0.000 0.500 0.000
Cs2 0.000 0.000 0.500
Cs3 0.500 0.000 0.000
F1 0.210 0.210 0.935
F2 0.935 0.210 0.210
F3 0.790 0.065 0.790
F4 0.210 0.935 0.210
F5 0.790 0.790 0.065
F6 0.065 0.790 0.790
Sb1 0.000 0.000 0.000

=====

No. 2
A relaxed structure of CsSb2F6. Source: the Alexandria database, functional PBE.

Results
space-group type = C2/c
total energy = -4.530 eV/atom

Cell: 6.124 8.281 8.281 Å, 92.27 82.08 82.08°
Atoms (fractional coordinates):
F1 0.507 0.594 0.359
F2 0.230 0.542 0.903
F3 0.493 0.406 0.641
F4 0.993 0.641 0.406
F5 0.941 0.886 0.800
F6 0.559 0.200 0.114
F7 0.059 0.114 0.200
F8 0.007 0.359 0.594
F9 0.270 0.097 0.458
F10 0.730 0.903 0.542
F11 0.441 0.800 0.886
F12 0.770 0.458 0.097
Cs1 0.750 0.841 0.159
Cs2 0.250 0.159 0.841
Sb1 0.135 0.290 0.358
Sb2 0.635 0.358 0.290
Sb3 0.365 0.642 0.710
Sb4 0.865 0.710 0.642

=====

No. 3
A relaxed structure of Cs2SnSbF6. Source: the Alexandria database, functional PBE.

Results
space-group type = I4/mmm
total energy = -4.350 eV/atom

Cell: 6.780 6.780 6.760 Å, 59.90 59.90 90.00°
Atoms (fractional coordinates):
F1 0.242 0.242 0.517
F2 0.758 0.758 0.483
F3 0.243 0.757 0.000
F4 0.243 0.243 0.000
F5 0.757 0.243 0.000
F6 0.757 0.757 0.000
Cs1 0.750 0.250 0.500
Cs2 0.250 0.750 0.500
Sn1 0.500 0.500 0.000
Sb1 0.000 0.000 0.000

=====

No. 4
A relaxed structure of CsSrSbF6. Source: the Alexandria database, functional PBE.

Results
space-group type = P1
total energy = -4.943 eV/atom

Cell: 6.526 6.531 5.585 Å, 90.06 89.84 59.79°
Atoms (fractional coordinates):
Sr1 0.666 0.667 0.531
F1 0.657 0.984 0.312
F2 0.366 0.070 0.695
F3 0.566 0.366 0.695
F4 0.988 0.352 0.319
F5 0.067 0.568 0.695
F6 0.356 0.660 0.315
Sb1 0.333 0.334 0.457
Cs1 0.000 0.000 0.981

=====

No. 5
A relaxed structure of Cs2TaSbF6. Source: the Alexandria database, functional PBE.

Results
space-group type = I4/mmm
total energy = -5.342 eV/atom

Cell: 7.346 7.346 7.634 Å, 61.24 61.24 90.00°
Last column: magnetic moment on the atom in μB.
Atoms (fractional coordinates):
F1 0.172 0.172 0.655  0.00
F2 0.814 0.186 0.000  0.01
F3 0.828 0.828 0.345  0.00
F4 0.186 0.186 0.000  0.01
F5 0.814 0.814 0.000  0.01
F6 0.186 0.814 0.000  0.01
Cs1 0.250 0.750 0.500  0.01
Cs2 0.750 0.250 0.500  0.01
Sb1 0.500 0.500 0.000  0.64
Ta1 0.000 0.000 0.000  -0.10

=====

No. 6
A relaxed structure of Cs2TcSbF6. Source: the Alexandria database, functional PBE.

Results
space-group type = I4/mmm
total energy = -4.762 eV/atom

Cell: 6.177 6.177 7.256 Å, 64.81 64.81 90.00°
Last column: magnetic moment on the atom in μB.
Atoms (fractional coordinates):
Sb1 0.000 0.000 0.000  0.01
Cs1 0.750 0.250 0.500  0.00
Cs2 0.250 0.750 0.500  0.00
F1 0.261 0.739 0.000  0.02
F2 0.739 0.739 0.000  0.02
F3 0.328 0.328 0.344  0.06
F4 0.261 0.261 0.000  0.02
F5 0.739 0.261 0.000  0.02
F6 0.672 0.672 0.656  0.06
Tc1 0.500 0.500 0.000  1.62

=====

No. 7
A relaxed structure of Cs2TiSbF6. Source: the Alexandria database, functional PBE.

Results
space-group type = I4/mmm
total energy = -5.113 eV/atom

Cell: 7.480 7.480 6.779 Å, 56.52 56.52 90.00°
Last column: magnetic moment on the atom in μB.
Atoms (fractional coordinates):
Cs1 0.250 0.750 0.500  0.01
Cs2 0.750 0.250 0.500  0.01
F1 0.730 0.730 0.540  0.02
F2 0.680 0.320 0.000  0.01
F3 0.270 0.270 0.460  0.02
F4 0.320 0.320 0.000  0.01
F5 0.680 0.680 0.000  0.01
F6 0.320 0.680 0.000  0.01
Sb1 0.000 0.000 0.000  0.41
Ti1 0.500 0.500 0.000  -0.20

=====

No. 8
A relaxed structure of CsTl2SbF6. Source: the Alexandria database, functional PBE.

Results
space-group type = P1
total energy = -4.334 eV/atom

Cell: 6.966 6.968 6.825 Å, 59.22 59.22 59.87°
Atoms (fractional coordinates):
F1 0.616 0.220 0.200
F2 0.418 0.598 0.828
F3 0.599 0.155 0.829
F4 0.155 0.418 0.829
F5 0.219 0.962 0.200
F6 0.965 0.618 0.200
Tl1 0.033 0.033 0.901
Tl2 0.549 0.549 0.353
Sb1 0.309 0.309 0.073
Cs1 0.799 0.800 0.602

=====

No. 9
A relaxed structure of CsTlSbF6. Source: the Alexandria database, functional PBE.

Results
space-group type = P1
total energy = -4.399 eV/atom

Cell: 6.437 6.429 5.015 Å, 90.14 90.12 59.67°
Last column: magnetic moment on the atom in μB.
Atoms (fractional coordinates):
F1 0.491 0.017 0.787  0.10
F2 0.493 0.490 0.784  0.10
F3 0.017 0.493 0.787  0.10
F4 0.179 0.638 0.335  0.09
F5 0.179 0.182 0.338  0.09
F6 0.638 0.175 0.336  0.09
Tl1 0.669 0.671 0.212  0.02
Sb1 0.333 0.333 0.565  0.29
Cs1 0.001 0.001 0.856  0.01

=====

Number 1: V 407 Å³/cell. Number 2: V 411 Å³/cell. Number 3: V 219 Å³/cell. Number 4: V 206 Å³/cell. Number 5: V 302 Å³/cell. Number 6: V 221 Å³/cell. Number 7: V 237 Å³/cell. Number 8: V 231 Å³/cell. Number 9: V 179 Å³/cell.